# Au3SF

A geometry-optimized Au3SF structure (GGA-PBEsol, Alexandria).

Cell lengths 4.608, 4.608, 4.608 Å; angles 90.00, 90.00, 90.00 degrees
Space group Pm-3m (No. 221)
Inequivalent atoms, fractional coordinates:
Au: 0.000 0.000 0.500 (multiplicity 3)
S: 0.000 0.000 0.000 (multiplicity 1)
F: 0.500 0.500 0.500 (multiplicity 1)

Computed properties:
uncorrected formation energy: 0.16 eV per atom
crystal system: cubic
total magnetization: 0.00 μB/f.u.